No. 1
VASP calculation (PBE) on a relaxed structure of YCr2Ni2. Values from VASP.

As for the space-group type: No. 139. For the energy above the most stable polymorph in this dataset, the calculation gives 0 meV per atom. The volume is 14.9 A^3/atom. For the energy of formation from the pure elements, the calculation gives 0.131 eV/atom.

The structure in Quantum ESPRESSO input format:
```
&SYSTEM
  ibrav = 0, nat = 5, ntyp = 3
/
ATOMIC_SPECIES
Ni 58.69 Ni.upf
Cr 52.00 Cr.upf
Y 88.91 Y.upf
CELL_PARAMETERS angstrom
-2.1310 -2.7027 0.9681
2.8706 -2.0227 0.6720
0.4344 -0.4460 6.3132
ATOMIC_POSITIONS angstrom
Ni 0.7904 -3.2175 5.9615
Ni 0.3836 -1.9538 1.9918
Cr -0.6634 -2.7557 4.0507
Cr 1.8374 -2.4157 3.9026
Y 0.0000 0.0000 0.0000
```



No. 2
VASP calculation (PBE) on a relaxed structure of Y2CrNi. Values from VASP.

As for the space-group type: No. 225. For the energy above the most stable polymorph in this dataset, the calculation gives 64 meV per atom. The volume is 21.4 A^3/atom. For the energy of formation from the pure elements, the calculation gives 0.070 eV/atom.

The structure in Quantum ESPRESSO input format:
```
&SYSTEM
  ibrav = 0, nat = 4, ntyp = 3
/
ATOMIC_SPECIES
Cr 52.00 Cr.upf
Y 88.91 Y.upf
Ni 58.69 Ni.upf
CELL_PARAMETERS angstrom
1.2395 -2.6099 4.0116
-1.9940 -4.4593 0.7611
2.7812 -4.0618 -0.4556
ATOMIC_POSITIONS angstrom
Cr 0.0000 0.0000 0.0000
Y 0.5067 -2.7827 1.0793
Y 1.5200 -8.3482 3.2378
Ni 1.0134 -5.5655 2.1585
```